Entry 1:
# AcPmAlGa

A geometry-optimized AcPmAlGa structure (PBE-GGA, Alexandria).

Lattice parameters (Å, degrees): 7.6516 7.6516 7.6516 90.00 90.00 90.00
Space group F-43m (No. 216)
Symmetry-distinct sites (fractional):
Ac: 0.0000 0.0000 0.0000 x4
Pm: 0.0000 0.0000 0.5000 x4
Al: 0.2500 0.2500 0.2500 x4
Ga: 0.2500 0.2500 0.7500 x4

energy relative to the elements	-0.361	eV per atom



Entry 2:
# AcPrAlGa

A geometry-optimized AcPrAlGa structure (PBE-GGA, Alexandria).

Lattice parameters (Å, degrees): 7.7069 7.7069 7.7069 90.00 90.00 90.00
Space group F-43m (No. 216)
Symmetry-distinct sites (fractional):
Ac: 0.0000 0.0000 0.0000 x4
Pr: 0.0000 0.0000 0.5000 x4
Al: 0.2500 0.2500 0.7500 x4
Ga: 0.2500 0.2500 0.2500 x4

E above lowest polymorph	75.9	meV/atom
energy relative to the elements	-0.355	eV per atom



Copy entry 2 word for word.
# AcPrAlGa

A geometry-optimized AcPrAlGa structure (PBE-GGA, Alexandria).

Lattice parameters (Å, degrees): 7.7069 7.7069 7.7069 90.00 90.00 90.00
Space group F-43m (No. 216)
Symmetry-distinct sites (fractional):
Ac: 0.0000 0.0000 0.0000 x4
Pr: 0.0000 0.0000 0.5000 x4
Al: 0.2500 0.2500 0.7500 x4
Ga: 0.2500 0.2500 0.2500 x4

E above lowest polymorph	75.9	meV/atom
energy relative to the elements	-0.355	eV per atom